Record 1
A plane-wave DFT calculation with PBE was carried out for an optimized crystal structure of Na2NdHg3.

Cell lengths 5.3166, 5.3166, 6.4508 Å; angles 90.00, 90.00, 120.00 degrees
Space group P-3m1 (No. 164)
Inequivalent atoms, fractional coordinates:
Na  0.3333  0.6667  0.1460 (multiplicity 2)
Nd  0.0000  0.0000  0.5000 (multiplicity 1)
Hg  0.0000  0.0000  0.0000 (multiplicity 1)
Hg  0.3333  0.6667  0.6461 (multiplicity 2)

Calculated values
Energy relative to the lowest polymorph listed for this composition = 0.0 kJ per mole of atoms
Size of the total moment = 0.00 μB per formula unit
E_tot = -1.7078 eV/atom
ΔH_f (0 K) = -31.1 kJ/mol of atoms

Record 2
A plane-wave DFT calculation with PBE was carried out for an optimized crystal structure of Na2NdHg3.

Cell lengths 5.3045, 15.9458, 7.5744 Å; angles 90.00, 90.00, 90.00 degrees
Space group Cmmm (No. 65)
Inequivalent atoms, fractional coordinates:
Na  0.0000  0.0000  0.0000 (multiplicity 2)
Na  0.0000  0.0000  0.5000 (multiplicity 2)
Na  0.0000  0.3332  0.0000 (multiplicity 4)
Nd  0.0000  0.3368  0.5000 (multiplicity 4)
Hg  0.0000  0.1691  0.2539 (multiplicity 8)
Hg  0.0000  0.5000  0.2466 (multiplicity 4)

Calculated values
Energy relative to the lowest polymorph listed for this composition = 2.4 kJ per mole of atoms
Size of the total moment = 0.00 μB per formula unit
E_tot = -1.6827 eV/atom
ΔH_f (0 K) = -28.7 kJ/mol of atoms

Record 3
A plane-wave DFT calculation with PBE was carried out for an optimized crystal structure of NaNd3Hg5.

Cell lengths 9.2871, 9.2871, 6.5138 Å; angles 90.00, 90.00, 120.00 degrees
Space group P6_3/mcm (No. 193)
Inequivalent atoms, fractional coordinates:
Na  0.0000  0.0000  0.0000 (multiplicity 2)
Nd  0.0000  0.3624  0.2500 (multiplicity 6)
Hg  0.0000  0.3034  0.7500 (multiplicity 6)
Hg  0.3333  0.6667  0.0000 (multiplicity 4)

Calculated values
Size of the total moment = 0.00 μB per formula unit
E_tot = -2.3013 eV/atom
ΔH_f (0 K) = -38.4 kJ/mol of atoms

Record 4
A plane-wave DFT calculation with PBE was carried out for an optimized crystal structure of Na4NdHg5.

Cell lengths 3.7664, 3.7664, 18.6573 Å; angles 90.00, 90.00, 90.00 degrees
Space group P4/mmm (No. 123)
Inequivalent atoms, fractional coordinates:
Na  0.0000  0.0000  0.0972 (multiplicity 2)
Na  0.0000  0.0000  0.2958 (multiplicity 2)
Nd  0.0000  0.0000  0.5000 (multiplicity 1)
Hg  0.5000  0.5000  0.0000 (multiplicity 1)
Hg  0.5000  0.5000  0.1940 (multiplicity 2)
Hg  0.5000  0.5000  0.3968 (multiplicity 2)

Calculated values
Size of the total moment = 0.43 μB per formula unit
E_tot = -1.4328 eV/atom
ΔH_f (0 K) = -26.8 kJ/mol of atoms

Record 5
A plane-wave DFT calculation with PBE was carried out for an optimized crystal structure of NaNdHg3.

Cell lengths 7.3321, 7.3321, 5.7079 Å; angles 90.00, 90.00, 120.00 degrees
Space group P6_3/mmc (No. 194)
Inequivalent atoms, fractional coordinates:
Na  0.0000  0.0000  0.0000 (multiplicity 2)
Nd  0.3333  0.6667  0.2500 (multiplicity 2)
Hg  0.1972  0.3944  0.7500 (multiplicity 6)

Calculated values
Size of the total moment = 0.00 μB per formula unit
E_tot = -1.5600 eV/atom
ΔH_f (0 K) = -15.6 kJ/mol of atoms

Record 6
A plane-wave DFT calculation with PBE was carried out for an optimized crystal structure of NaNd5Hg6.

Cell lengths 5.3953, 16.1315, 7.6490 Å; angles 90.00, 90.00, 90.00 degrees
Space group Cmmm (No. 65)
Inequivalent atoms, fractional coordinates:
Na  0.0000  0.0000  0.0000 (multiplicity 2)
Nd  0.0000  0.0000  0.5000 (multiplicity 2)
Nd  0.0000  0.3312  0.5000 (multiplicity 4)
Nd  0.0000  0.3395  0.0000 (multiplicity 4)
Hg  0.0000  0.1669  0.2438 (multiplicity 8)
Hg  0.0000  0.5000  0.2569 (multiplicity 4)

Calculated values
Size of the total moment = 0.94 μB per formula unit
E_tot = -2.6862 eV/atom
ΔH_f (0 K) = -42.3 kJ/mol of atoms

Record 7
A plane-wave DFT calculation with PBE was carried out for an optimized crystal structure of NaNdHg6.

Cell lengths 5.1931, 6.7119, 11.6133 Å; angles 90.00, 90.00, 90.00 degrees
Space group Amm2 (No. 38)
Inequivalent atoms, fractional coordinates:
Na  0.0000  0.0000  0.0000 (multiplicity 2)
Nd  0.5000  0.0000  0.6673 (multiplicity 2)
Hg  0.0000  0.0000  0.4964 (multiplicity 2)
Hg  0.0000  0.2439  0.2521 (multiplicity 4)
Hg  0.5000  0.0000  0.1688 (multiplicity 2)
Hg  0.5000  0.2484  0.4168 (multiplicity 4)

Calculated values
Size of the total moment = 0.00 μB per formula unit
E_tot = -1.2705 eV/atom
ΔH_f (0 K) = -27.3 kJ/mol of atoms

Record 8
A plane-wave DFT calculation with PBE was carried out for an optimized crystal structure of NaNd2Hg6.

Cell lengths 7.7889, 12.4597, 4.8187 Å; angles 90.00, 90.00, 90.00 degrees
Space group Cmmm (No. 65)
Inequivalent atoms, fractional coordinates:
Na  0.0000  0.0000  0.0000 (multiplicity 2)
Nd  0.0000  0.2273  0.5000 (multiplicity 4)
Hg  0.1879  0.3619  0.0000 (multiplicity 8)
Hg  0.2395  0.5000  0.5000 (multiplicity 4)

Calculated values
Energy relative to the lowest polymorph listed for this composition = 8.9 kJ per mole of atoms
Size of the total moment = 0.00 μB per formula unit
E_tot = -1.6603 eV/atom
ΔH_f (0 K) = -24.4 kJ/mol of atoms

Record 9
A plane-wave DFT calculation with PBE was carried out for an optimized crystal structure of Na2NdHg9.

Cell lengths 4.6876, 4.6876, 13.9759 Å; angles 90.00, 90.00, 90.00 degrees
Space group P4/mmm (No. 123)
Inequivalent atoms, fractional coordinates:
Na  0.0000  0.0000  0.1640 (multiplicity 2)
Nd  0.0000  0.0000  0.5000 (multiplicity 1)
Hg  0.0000  0.5000  0.0000 (multiplicity 2)
Hg  0.0000  0.5000  0.3313 (multiplicity 4)
Hg  0.5000  0.5000  0.1671 (multiplicity 2)
Hg  0.5000  0.5000  0.5000 (multiplicity 1)

Calculated values
Size of the total moment = 0.00 μB per formula unit
E_tot = -1.0893 eV/atom
ΔH_f (0 K) = -23.7 kJ/mol of atoms

Record 10
A plane-wave DFT calculation with PBE was carried out for an optimized crystal structure of NaNd2Hg8.

Cell lengths 16.3993, 5.1566, 7.2738 Å; angles 90.00, 113.05, 90.00 degrees
Space group C2/m (No. 12)
Inequivalent atoms, fractional coordinates:
Na  0.0000  0.0000  0.0000 (multiplicity 2)
Nd  0.2021  0.5000  0.6821 (multiplicity 4)
Hg  0.0070  0.5000  0.7181 (multiplicity 4)
Hg  0.1221  0.0000  0.4239 (multiplicity 4)
Hg  0.1485  0.0000  0.8707 (multiplicity 4)
Hg  0.1583  0.5000  0.1660 (multiplicity 4)

Calculated values
Size of the total moment = 0.00 μB per formula unit
E_tot = -1.4965 eV/atom
ΔH_f (0 K) = -28.0 kJ/mol of atoms

Record 11
A plane-wave DFT calculation with PBE was carried out for an optimized crystal structure of NaPmNdHg.

Cell lengths 7.7637, 7.7637, 7.7637 Å; angles 90.00, 90.00, 90.00 degrees
Space group F-43m (No. 216)
Inequivalent atoms, fractional coordinates:
Na  0.0000  0.0000  0.0000 (multiplicity 4)
Pm  0.2500  0.2500  0.2500 (multiplicity 4)
Nd  0.2500  0.2500  0.7500 (multiplicity 4)
Hg  0.0000  0.0000  0.5000 (multiplicity 4)

Calculated values
Size of the total moment = 0.87 μB per formula unit
E_tot = -2.8606 eV/atom
ΔH_f (0 K) = -7.3 kJ/mol of atoms

Record 12
A plane-wave DFT calculation with PBE was carried out for an optimized crystal structure of NaPrNdHg.

Cell lengths 7.8175, 7.8175, 7.8175 Å; angles 90.00, 90.00, 90.00 degrees
Space group F-43m (No. 216)
Inequivalent atoms, fractional coordinates:
Na  0.0000  0.0000  0.0000 (multiplicity 4)
Pr  0.2500  0.2500  0.7500 (multiplicity 4)
Nd  0.2500  0.2500  0.2500 (multiplicity 4)
Hg  0.0000  0.0000  0.5000 (multiplicity 4)

Calculated values
Size of the total moment = 0.90 μB per formula unit
E_tot = -2.8747 eV/atom
ΔH_f (0 K) = -8.0 kJ/mol of atoms

Record 13
A plane-wave DFT calculation with PBE was carried out for an optimized crystal structure of NaNdHgPt.

Cell lengths 7.2100, 7.2100, 7.2100 Å; angles 90.00, 90.00, 90.00 degrees
Space group F-43m (No. 216)
Inequivalent atoms, fractional coordinates:
Na  0.0000  0.0000  0.0000 (multiplicity 4)
Nd  0.0000  0.0000  0.5000 (multiplicity 4)
Hg  0.2500  0.2500  0.2500 (multiplicity 4)
Pt  0.2500  0.2500  0.7500 (multiplicity 4)

Calculated values
Size of the total moment = 0.00 μB per formula unit
E_tot = -3.5955 eV/atom
ΔH_f (0 K) = -47.1 kJ/mol of atoms

Record 14
A plane-wave DFT calculation with PBE was carried out for an optimized crystal structure of NaNdHgSb.

Cell lengths 7.6070, 7.6070, 7.6070 Å; angles 90.00, 90.00, 90.00 degrees
Space group F-43m (No. 216)
Inequivalent atoms, fractional coordinates:
Na  0.0000  0.0000  0.0000 (multiplicity 4)
Nd  0.0000  0.0000  0.5000 (multiplicity 4)
Hg  0.2500  0.2500  0.2500 (multiplicity 4)
Sb  0.2500  0.2500  0.7500 (multiplicity 4)

Calculated values
Size of the total moment = 0.00 μB per formula unit
Uncorrected formation energy = -0.5296 eV/atom
E_tot = -3.1574 eV/atom

Record 15
A plane-wave DFT calculation with PBE was carried out for an optimized crystal structure of NaNdSm2Hg4.

Cell lengths 5.3012, 5.3012, 26.4775 Å; angles 90.00, 90.00, 120.00 degrees
Space group R-3m (No. 166, hexagonal axes)
Inequivalent atoms, fractional coordinates:
Na  0.0000  0.0000  0.0000 (multiplicity 3)
Nd  0.0000  0.0000  0.5000 (multiplicity 3)
Sm  0.0000  0.0000  0.2547 (multiplicity 6)
Hg  0.0000  0.0000  0.1238 (multiplicity 6)
Hg  0.0000  0.0000  0.3748 (multiplicity 6)

Calculated values
Size of the total moment = 0.00 μB per formula unit
E_tot = -2.5072 eV/atom
ΔH_f (0 K) = -40.1 kJ/mol of atoms

Record 16
A plane-wave DFT calculation with PBE was carried out for an optimized crystal structure of NaNdSmHg.

Cell lengths 7.7458, 7.7458, 7.7458 Å; angles 90.00, 90.00, 90.00 degrees
Space group F-43m (No. 216)
Inequivalent atoms, fractional coordinates:
Na  0.0000  0.0000  0.0000 (multiplicity 4)
Nd  0.2500  0.2500  0.7500 (multiplicity 4)
Sm  0.2500  0.2500  0.2500 (multiplicity 4)
Hg  0.0000  0.0000  0.5000 (multiplicity 4)

Calculated values
Size of the total moment = 0.87 μB per formula unit
E_tot = -2.8490 eV/atom
ΔH_f (0 K) = -7.0 kJ/mol of atoms

Record 17
A plane-wave DFT calculation with PBE was carried out for an optimized crystal structure of NaSrNdHg.

Cell lengths 8.0048, 8.0048, 8.0048 Å; angles 90.00, 90.00, 90.00 degrees
Space group F-43m (No. 216)
Inequivalent atoms, fractional coordinates:
Na  0.0000  0.0000  0.0000 (multiplicity 4)
Sr  0.2500  0.2500  0.2500 (multiplicity 4)
Nd  0.2500  0.2500  0.7500 (multiplicity 4)
Hg  0.0000  0.0000  0.5000 (multiplicity 4)

Calculated values
Size of the total moment = 0.00 μB per formula unit
E_tot = -2.1314 eV/atom
ΔH_f (0 K) = -11.0 kJ/mol of atoms

Record 18
A plane-wave DFT calculation with PBE was carried out for an optimized crystal structure of NaTbNdHg.

Cell lengths 7.6896, 7.6896, 7.6896 Å; angles 90.00, 90.00, 90.00 degrees
Space group F-43m (No. 216)
Inequivalent atoms, fractional coordinates:
Na  0.0000  0.0000  0.0000 (multiplicity 4)
Tb  0.2500  0.2500  0.2500 (multiplicity 4)
Nd  0.2500  0.2500  0.7500 (multiplicity 4)
Hg  0.0000  0.0000  0.5000 (multiplicity 4)

Calculated values
Size of the total moment = 0.84 μB per formula unit
E_tot = -2.8162 eV/atom
ΔH_f (0 K) = -5.9 kJ/mol of atoms

Record 19
A plane-wave DFT calculation with PBE was carried out for an optimized crystal structure of NaNdTmHg.

Cell lengths 7.6344, 7.6344, 7.6344 Å; angles 90.00, 90.00, 90.00 degrees
Space group F-43m (No. 216)
Inequivalent atoms, fractional coordinates:
Na  0.0000  0.0000  0.0000 (multiplicity 4)
Nd  0.2500  0.2500  0.2500 (multiplicity 4)
Tm  0.2500  0.2500  0.7500 (multiplicity 4)
Hg  0.0000  0.0000  0.5000 (multiplicity 4)

Calculated values
Size of the total moment = 0.75 μB per formula unit
E_tot = -2.7609 eV/atom
ΔH_f (0 K) = -4.4 kJ/mol of atoms

Record 20
A plane-wave DFT calculation with PBE was carried out for an optimized crystal structure of NaNdTm2Hg4.

Cell lengths 5.1864, 5.1864, 26.2800 Å; angles 90.00, 90.00, 120.00 degrees
Space group R-3m (No. 166, hexagonal axes)
Inequivalent atoms, fractional coordinates:
Na  0.0000  0.0000  0.0000 (multiplicity 3)
Nd  0.0000  0.0000  0.5000 (multiplicity 3)
Tm  0.0000  0.0000  0.2553 (multiplicity 6)
Hg  0.0000  0.0000  0.1197 (multiplicity 6)
Hg  0.0000  0.0000  0.3742 (multiplicity 6)

Calculated values
Size of the total moment = 0.00 μB per formula unit
E_tot = -2.4203 eV/atom
ΔH_f (0 K) = -37.7 kJ/mol of atoms

Record 21
A plane-wave DFT calculation with PBE was carried out for an optimized crystal structure of NaNdZnHg.

Cell lengths 7.3377, 7.3377, 7.3377 Å; angles 90.00, 90.00, 90.00 degrees
Space group F-43m (No. 216)
Inequivalent atoms, fractional coordinates:
Na  0.0000  0.0000  0.0000 (multiplicity 4)
Nd  0.0000  0.0000  0.5000 (multiplicity 4)
Zn  0.2500  0.2500  0.2500 (multiplicity 4)
Hg  0.2500  0.2500  0.7500 (multiplicity 4)

Calculated values
Size of the total moment = 0.00 μB per formula unit
E_tot = -2.1554 eV/atom
ΔH_f (0 K) = -23.1 kJ/mol of atoms

Record 22
A plane-wave DFT calculation with PBE was carried out for an optimized crystal structure of NaNi2Hg2.

Cell lengths 4.8012, 4.8012, 8.7421 Å; angles 90.00, 90.00, 90.00 degrees
Space group I4/mmm (No. 139)
Inequivalent atoms, fractional coordinates:
Na  0.0000  0.0000  0.0000 (multiplicity 2)
Ni  0.0000  0.0000  0.3706 (multiplicity 4)
Hg  0.0000  0.5000  0.2500 (multiplicity 4)

Calculated values
Energy relative to the lowest polymorph listed for this composition = 14.0 kJ per mole of atoms
Size of the total moment = 0.00 μB per formula unit
E_tot = -2.4622 eV/atom
ΔH_f (0 K) = 22.7 kJ/mol of atoms

Record 23
A plane-wave DFT calculation with PBE was carried out for an optimized crystal structure of Na2NiHg2.

Cell lengths 7.3128, 7.3128, 4.3425 Å; angles 90.00, 90.00, 90.00 degrees
Space group P4/mbm (No. 127)
Inequivalent atoms, fractional coordinates:
Na  0.1445  0.3555  0.0000 (multiplicity 4)
Ni  0.0000  0.0000  0.0000 (multiplicity 2)
Hg  0.1644  0.6644  0.5000 (multiplicity 4)

Calculated values
Energy relative to the lowest polymorph listed for this composition = 28.2 kJ per mole of atoms
Size of the total moment = 0.00 μB per formula unit
E_tot = -1.4750 eV/atom
ΔH_f (0 K) = 31.8 kJ/mol of atoms

Record 24
A plane-wave DFT calculation with PBE was carried out for an optimized crystal structure of Na2NiHg4.

Cell lengths 5.0941, 5.0941, 15.4749 Å; angles 90.00, 90.00, 90.00 degrees
Space group I4/mmm (No. 139)
Inequivalent atoms, fractional coordinates:
Na  0.0000  0.0000  0.1335 (multiplicity 4)
Ni  0.0000  0.0000  0.5000 (multiplicity 2)
Hg  0.0000  0.0000  0.3314 (multiplicity 4)
Hg  0.0000  0.5000  0.0000 (multiplicity 4)

Calculated values
Size of the total moment = 0.00 μB per formula unit
E_tot = -1.4225 eV/atom
ΔH_f (0 K) = -4.6 kJ/mol of atoms

Record 25
A plane-wave DFT calculation with PBE was carried out for an optimized crystal structure of Na2Ni2Hg.

Cell lengths 6.5032, 6.5032, 4.6120 Å; angles 90.00, 90.00, 90.00 degrees
Space group P4/mbm (No. 127)
Inequivalent atoms, fractional coordinates:
Na  0.1750  0.3250  0.0000 (multiplicity 4)
Ni  0.1237  0.6237  0.5000 (multiplicity 4)
Hg  0.0000  0.0000  0.5000 (multiplicity 2)

Calculated values
Size of the total moment = 0.00 μB per formula unit
E_tot = -2.6746 eV/atom
ΔH_f (0 K) = 21.8 kJ/mol of atoms